DFT (GGA-PBE) results for Y2ZnCo2 after structural relaxation.

Unit cell a=5.2324 b=5.2324 c=5.1958 alpha=59.77 beta=59.77 gamma=90.00
Closest atoms and distances in Å follow each position.
Sites, in units of the cell vectors:
Y: 0.2500 0.7500 0.5000  4 Co 2.70
Co: 0.3427 0.3427 0.3146  1 Co 2.30, 1 Zn 2.50
Y: 0.7500 0.2500 0.5000  4 Co 2.70
Co: 0.6573 0.6573 0.6854  1 Co 2.30, 1 Zn 2.50
Zn: 0.0000 0.0000 0.0000  2 Co 2.50

## Properties
As for the crystal system: tetragonal. The space-group type is I4/mmm (139). Its total energy is -5.67 eV per atom. Its density of states at the Fermi level is 1.1552 states/eV per atom.

***

DFT (GGA-PBE) results for CePa2Nb after structural relaxation.

Unit cell a=3.4769 b=3.4769 c=7.8965 alpha=90.00 beta=90.00 gamma=90.00
Closest atoms and distances in Å follow each position.
Sites, in units of the cell vectors:
Pa: 0.0000 0.0000 0.2281  4 Nb 3.05, 4 Ce 3.26
Ce: 0.5000 0.5000 0.5000  8 Pa 3.26, 4 Ce 3.48
Pa: 0.0000 0.0000 0.7719  4 Nb 3.05, 4 Ce 3.26
Nb: 0.5000 0.5000 0.0000  8 Pa 3.05

## Properties
As for the crystal system: tetragonal. The space-group type is P4/mmm (123). Its total energy is -8.61 eV per atom. Its density of states at the Fermi level is 2.0337 states/eV per atom.

***

DFT (GGA-PBE) results for CdGa3Ag after structural relaxation.

Unit cell a=5.0469 b=5.0469 c=5.0469 alpha=90.00 beta=90.00 gamma=90.00
Closest atoms and distances in Å follow each position.
Sites, in units of the cell vectors:
Ga: 0.5000 0.0000 0.0000  2 Ag 2.52
Cd: 0.5000 0.5000 0.5000  12 Ga 3.57
Ag: 0.0000 0.0000 0.0000  6 Ga 2.52
Ga: 0.0000 0.0000 0.5000  2 Ag 2.52
Ga: 0.0000 0.5000 0.0000  2 Ag 2.52

## Properties
As for the crystal system: cubic. The space-group type is Pm-3m (221). Its total energy is -2.26 eV per atom. Its density of states at the Fermi level is 0.6574 states/eV per atom.

***

DFT (GGA-PBE) results for Hf3Ti4Ga4 after structural relaxation.

Unit cell a=3.4996 b=8.1221 c=8.4166 alpha=118.85 beta=102.00 gamma=90.00
Closest atoms and distances in Å follow each position.
Sites, in units of the cell vectors:
Ga: 0.5000 0.2020 0.0000  2 Ti 2.60
Ga: 0.7712 0.2712 0.5423  6 Ti 2.56-2.75, 2 Hf 2.77
Ti: 0.6738 0.8816 0.3477  4 Ga 2.56-2.75
Hf: 0.0000 0.5000 0.0000  6 Ga 2.99-3.28
Ti: 0.3262 0.1184 0.6523  4 Ga 2.56-2.75
Ga: 0.2288 0.7288 0.4577  6 Ti 2.56-2.75, 2 Hf 2.77
Ti: 0.3262 0.5340 0.6523  4 Ga 2.56-2.75
Ti: 0.6738 0.4660 0.3477  4 Ga 2.56-2.75
Hf: 0.8785 0.8785 0.7569  6 Ga 2.77-2.96, 4 Ti 3.04
Hf: 0.1215 0.1215 0.2431  6 Ga 2.77-2.96, 4 Ti 3.04
Ga: 0.5000 0.7980 0.0000  2 Ti 2.60

## Properties
As for the crystal system: orthorhombic. The space-group type is Immm (71). Its total energy is -6.96 eV per atom. Its density of states at the Fermi level is 1.2537 states/eV per atom.

***

DFT (GGA-PBE) results for Pt8RhW2 after structural relaxation.

Unit cell a=3.9468 b=6.2845 c=7.3978 alpha=104.53 beta=105.47 gamma=90.00
Closest atoms and distances in Å follow each position.
Sites, in units of the cell vectors:
Pt: 0.4042 0.5450 0.8084  8 Pt 2.74-2.93, 3 W 2.75-2.77, 1 Rh 2.83
Pt: 0.9517 0.2678 0.9033  1 W 2.73, 9 Pt 2.78-2.88, 2 Rh 2.79
Pt: 0.6823 0.9137 0.3646  3 W 2.77-2.79, 8 Pt 2.78-2.82, 1 Rh 2.79
Pt: 0.1416 0.1973 0.2833  3 W 2.73-2.74, 7 Pt 2.74-2.88, 2 Rh 2.86
W: 0.7748 0.3592 0.5495  10 Pt 2.73-2.79, 2 W 2.86
Pt: 0.5958 0.4550 0.1916  8 Pt 2.74-2.93, 3 W 2.75-2.77, 1 Rh 2.83
W: 0.2252 0.6408 0.4505  10 Pt 2.73-2.79, 2 W 2.86
Pt: 0.0483 0.7322 0.0967  1 W 2.73, 9 Pt 2.78-2.88, 2 Rh 2.79
Pt: 0.3177 0.0863 0.6354  3 W 2.77-2.79, 8 Pt 2.78-2.82, 1 Rh 2.79
Pt: 0.8584 0.8027 0.7167  3 W 2.73-2.74, 7 Pt 2.74-2.88, 2 Rh 2.86
Rh: 0.5000 0.0000 0.0000  12 Pt 2.79-2.86

## Properties
As for the crystal system: monoclinic. The space-group type is C2/m (12). Its total energy is -7.62 eV per atom. Its density of states at the Fermi level is 1.0510 states/eV per atom.

***

DFT (GGA-PBE) results for Nd6HPt2I3 after structural relaxation.

Unit cell a=7.3151 b=7.3151 c=8.3490 alpha=98.37 beta=98.37 gamma=120.08
Closest atoms and distances in Å follow each position.
Sites, in units of the cell vectors:
I: 0.5000 0.5000 0.5000  6 Nd 3.48-3.49
Nd: 0.5997 0.9364 0.8112  2 Pt 2.85, 1 H 2.89
H: 0.0000 0.0000 0.0000  6 Nd 2.87-2.89
Pt: 0.6672 0.3328 0.0000  6 Nd 2.85
Nd: 0.2747 0.2747 0.8142  2 Pt 2.85, 1 H 2.87
I: 0.1669 0.8331 0.5000  6 Nd 3.46-3.51
I: 0.8331 0.1669 0.5000  6 Nd 3.46-3.51
Nd: 0.7253 0.7253 0.1858  2 Pt 2.85, 1 H 2.87
Nd: 0.4003 0.0636 0.1888  2 Pt 2.85, 1 H 2.89
Pt: 0.3328 0.6672 0.0000  6 Nd 2.85
Nd: 0.0636 0.4003 0.1888  2 Pt 2.85, 1 H 2.89
Nd: 0.9364 0.5997 0.8112  2 Pt 2.85, 1 H 2.89

## Properties
As for the crystal system: monoclinic. The space-group type is C2/m (12). Its total energy is -4.94 eV per atom. Its density of states at the Fermi level is 0.6981 states/eV per atom.

***

DFT (GGA-PBE) results for Y2Ho6Er after structural relaxation.

Unit cell a=4.9992 b=10.5975 c=10.5973 alpha=90.00 beta=90.00 gamma=90.00
Closest atoms and distances in Å follow each position.
Sites, in units of the cell vectors:
Ho: 0.9999 0.0000 0.8339  8 Ho 3.52-3.54, 3 Y 3.54, 1 Er 3.54
Ho: 0.4998 0.8339 0.0000  8 Ho 3.52-3.54, 3 Y 3.54, 1 Er 3.54
Ho: 0.5001 0.5000 0.6661  8 Ho 3.52-3.54, 3 Y 3.54, 1 Er 3.54
Y: 0.9998 0.6663 0.1664  10 Ho 3.53-3.54, 2 Er 3.53
Ho: 0.9998 0.6661 0.5000  8 Ho 3.52-3.54, 3 Y 3.54, 1 Er 3.54
Ho: 0.9998 0.6667 0.8334  4 Y 3.53-3.54, 6 Ho 3.53-3.54, 2 Er 3.53
Ho: 0.0001 0.0000 0.1661  8 Ho 3.52-3.54, 3 Y 3.54, 1 Er 3.54
Ho: 0.4999 0.5000 0.3339  8 Ho 3.52-3.54, 3 Y 3.54, 1 Er 3.54
Ho: 0.5002 0.1667 0.6666  4 Y 3.53-3.54, 6 Ho 3.53-3.54, 2 Er 3.53
Er: 0.5000 0.5000 0.0000  4 Y 3.53, 8 Ho 3.53-3.54
Er: 0.0000 0.0000 0.5000  4 Y 3.53, 8 Ho 3.53-3.54
Ho: 0.4998 0.8333 0.3334  4 Y 3.53-3.54, 6 Ho 3.53-3.54, 2 Er 3.53
Y: 0.5002 0.1663 0.3336  10 Ho 3.53-3.54, 2 Er 3.53
Ho: 0.5002 0.1661 0.0000  8 Ho 3.52-3.54, 3 Y 3.54, 1 Er 3.54
Y: 0.0002 0.3337 0.8336  10 Ho 3.53-3.54, 2 Er 3.53
Y: 0.4998 0.8337 0.6664  10 Ho 3.53-3.54, 2 Er 3.53
Ho: 0.0002 0.3333 0.1666  4 Y 3.53-3.54, 6 Ho 3.53-3.54, 2 Er 3.53
Ho: 0.0002 0.3339 0.5000  8 Ho 3.52-3.54, 3 Y 3.54, 1 Er 3.54

## Properties
As for the crystal system: tetragonal. The space-group type is P4_2/mnm (136). Its total energy is -4.97 eV per atom. Its density of states at the Fermi level is 1.2858 states/eV per atom.

***

DFT (GGA-PBE) results for LaGdGaSi after structural relaxation.

Unit cell a=5.1742 b=5.1742 c=5.1742 alpha=60.00 beta=60.00 gamma=60.00
Closest atoms and distances in Å follow each position.
Sites, in units of the cell vectors:
La: 0.5000 0.5000 0.5000  4 Si 3.17, 4 Ga 3.17
Gd: 0.0000 0.0000 0.0000  4 Ga 3.17, 4 Si 3.17
Si: 0.2500 0.2500 0.2500  4 Gd 3.17, 4 La 3.17
Ga: 0.7500 0.7500 0.7500  4 Gd 3.17, 4 La 3.17

## Properties
As for the crystal system: cubic. The space-group type is F-43m (216). Its total energy is -7.38 eV per atom. Its density of states at the Fermi level is 0.5920 states/eV per atom. As for the formation energy from raw total energies: -0.51 eV per atom.

***

DFT (GGA-PBE) results for Na4Cu6F19 after structural relaxation.

Unit cell a=8.0056 b=8.0056 c=8.0056 alpha=109.47 beta=109.47 gamma=109.47
Closest atoms and distances in Å follow each position.
Sites, in units of the cell vectors:
Cu: 0.5000 0.1578 0.6578  6 F 1.94-2.00
F: 0.3481 0.3001 0.6240  2 Cu 1.94-1.96
F: 0.0000 0.6475 0.6475  2 Cu 2.00
F: 0.6999 0.0480 0.3239  2 Cu 1.94-1.96
F: 0.0480 0.3239 0.6999  2 Cu 1.94-1.96
F: 0.3525 0.0000 0.3525  2 Cu 2.00
F: 0.6475 0.0000 0.6475  2 Cu 2.00
F: 0.9520 0.6519 0.2758  2 Cu 1.94-1.96
F: 0.3525 0.3525 0.0000  2 Cu 2.00
Cu: 0.3422 0.5000 0.8422  6 F 1.94-2.00
F: 0.6519 0.2758 0.9520  2 Cu 1.94-1.96
Na: 0.2824 0.2824 0.2824  1 F 2.26
F: 0.3239 0.6999 0.0480  2 Cu 1.94-1.96
F: 0.0000 0.3525 0.3525  2 Cu 2.00
F: 0.6475 0.6475 0.0000  2 Cu 2.00
Cu: 0.8422 0.3422 0.5000  6 F 1.94-2.00
F: 0.3760 0.6761 0.7242  2 Cu 1.94-1.96
F: 0.6240 0.3481 0.3001  2 Cu 1.94-1.96
F: 0.7242 0.3760 0.6761  2 Cu 1.94-1.96
F: 0.6761 0.7242 0.3760  2 Cu 1.94-1.96
Cu: 0.1578 0.6578 0.5000  6 F 1.94-2.00
Na: 0.0000 0.7176 0.0000  1 F 2.26
Cu: 0.5000 0.8422 0.3422  6 F 1.94-2.00
F: 0.2758 0.9520 0.6519  2 Cu 1.94-1.96
Cu: 0.6578 0.5000 0.1578  6 F 1.94-2.00
Na: 0.7176 0.0000 0.0000  1 F 2.26
F: 0.0000 0.0000 0.0000  4 Na 2.26
F: 0.3001 0.6240 0.3481  2 Cu 1.94-1.96
Na: 0.0000 0.0000 0.7176  1 F 2.26

## Properties
As for the crystal system: cubic. The space-group type is I23 (197). Its total energy is -4.09 eV per atom. Its density of states at the Fermi level is 0.3891 states/eV per atom. As for the formation energy from raw total energies: -1.83 eV per atom.

***

DFT (GGA-PBE) results for Co5Pt4Rh after structural relaxation.

Unit cell a=3.1555 b=3.1555 c=13.6184 alpha=90.00 beta=90.00 gamma=90.00
Closest atoms and distances in Å follow each position.
Sites, in units of the cell vectors:
Pt: 0.0000 0.0000 0.4002  8 Co 2.60-2.61, 2 Pt 2.72-2.75
Co: 0.5000 0.5000 0.9067  2 Co 2.54-2.85, 4 Rh 2.57, 4 Pt 2.65
Pt: 0.0000 0.0000 0.1986  8 Co 2.64-2.65, 1 Rh 2.70, 1 Pt 2.75
Co: 0.5000 0.5000 0.3023  8 Pt 2.60-2.64, 2 Co 2.69-2.85
Rh: 0.0000 0.0000 0.0000  8 Co 2.57, 2 Pt 2.70
Co: 0.5000 0.5000 0.0933  2 Co 2.54-2.85, 4 Rh 2.57, 4 Pt 2.65
Pt: 0.0000 0.0000 0.8014  8 Co 2.64-2.65, 1 Rh 2.70, 1 Pt 2.75
Co: 0.5000 0.5000 0.6977  8 Pt 2.60-2.64, 2 Co 2.69-2.85
Pt: 0.0000 0.0000 0.5998  8 Co 2.60-2.61, 2 Pt 2.72-2.75
Co: 0.5000 0.5000 0.5000  8 Pt 2.61, 2 Co 2.69

## Properties
As for the crystal system: tetragonal. The space-group type is P4/mmm (123). Its total energy is -6.62 eV per atom. Its density of states at the Fermi level is 1.9606 states/eV per atom.

***

DFT (GGA-PBE) results for La2NdDy6 after structural relaxation.

Unit cell a=3.5199 b=9.8908 c=9.8908 alpha=63.46 beta=79.81 gamma=79.81
Closest atoms and distances in Å follow each position.
Sites, in units of the cell vectors:
Dy: 0.8215 0.3438 0.0108  1 Nd 3.39, 7 Dy 3.44-3.73, 3 La 3.49-3.68
Dy: 0.1785 0.9892 0.6562  1 Nd 3.39, 7 Dy 3.44-3.73, 3 La 3.49-3.68
Dy: 0.5000 0.3111 0.6889  7 Dy 3.52-3.93, 2 Nd 3.68, 4 La 3.69
Nd: 0.0000 0.0000 0.0000  8 Dy 3.39-3.68, 2 Nd 3.52
La: 0.1554 0.3430 0.3430  10 Dy 3.49-3.69, 2 La 3.52
Dy: 0.1785 0.6562 0.9892  1 Nd 3.39, 7 Dy 3.44-3.73, 3 La 3.49-3.68
Dy: 0.8215 0.0108 0.3438  1 Nd 3.39, 7 Dy 3.44-3.73, 3 La 3.49-3.68
Dy: 0.5000 0.6889 0.3111  7 Dy 3.52-3.93, 2 Nd 3.68, 4 La 3.69
La: 0.8446 0.6570 0.6570  10 Dy 3.49-3.69, 2 La 3.52

## Properties
As for the crystal system: monoclinic. The space-group type is C2/m (12). Its total energy is -4.59 eV per atom. Its density of states at the Fermi level is 1.6967 states/eV per atom.

***

DFT (GGA-PBE) results for Th2AgPt9 after structural relaxation.

Unit cell a=4.1970 b=4.1970 c=12.2960 alpha=90.00 beta=90.00 gamma=90.00
Closest atoms and distances in Å follow each position.
Sites, in units of the cell vectors:
Pt: 0.0000 0.5000 0.1568  8 Pt 2.85-2.98, 2 Ag 2.85, 2 Th 2.93
Ag: 0.0000 0.0000 0.0000  12 Pt 2.85-2.97
Pt: 0.5000 0.0000 0.8432  8 Pt 2.85-2.98, 2 Ag 2.85, 2 Th 2.93
Pt: 0.5000 0.0000 0.1568  8 Pt 2.85-2.98, 2 Ag 2.85, 2 Th 2.93
Th: 0.0000 0.0000 0.6764  12 Pt 2.93-3.02
Pt: 0.5000 0.5000 0.0000  8 Pt 2.85, 4 Ag 2.97
Th: 0.0000 0.0000 0.3236  12 Pt 2.93-3.02
Pt: 0.0000 0.5000 0.5000  8 Pt 2.97, 4 Th 3.02
Pt: 0.5000 0.5000 0.3293  8 Pt 2.97-2.98, 4 Th 2.97
Pt: 0.5000 0.0000 0.5000  8 Pt 2.97, 4 Th 3.02
Pt: 0.0000 0.5000 0.8432  8 Pt 2.85-2.98, 2 Ag 2.85, 2 Th 2.93
Pt: 0.5000 0.5000 0.6707  8 Pt 2.97-2.98, 4 Th 2.97

## Properties
As for the crystal system: tetragonal. The space-group type is P4/mmm (123). Its total energy is -6.74 eV per atom. Its density of states at the Fermi level is 0.8008 states/eV per atom.